# Sm4AlSi2

A geometry-optimized Sm4AlSi2 structure (PBE-GGA, the Alexandria database).

Cell: 9.829 9.829 9.829 Å, 28.69 28.69 28.69°
Atoms (fractional coordinates):
Sm1 0.120 0.120 0.120
Sm2 0.294 0.294 0.294
Sm3 0.706 0.706 0.706
Sm4 0.880 0.880 0.880
Al1 0.500 0.500 0.500
Si1 0.404 0.404 0.404
Si2 0.596 0.596 0.596

Properties
Crystal system: trigonal
Calculated total energy in eV per formula unit: -36.2
SG: R-3m (166)
Total magnetic moment in μB per formula unit: 0.0
Raw formation energy in eV per atom: -0.39